Entry from the Alexandria database: a relaxed structure of LiCaCl2 (PBEsol).

Structure (CIF):
```
data_LiCaCl2
_chemical_formula_sum 'Li1 Ca1 Cl2'
_cell_length_a 3.563
_cell_length_b 3.563
_cell_length_c 6.881
_cell_angle_alpha 90.00
_cell_angle_beta 90.00
_cell_angle_gamma 90.00
_symmetry_space_group_name_H-M 'P 1'
_symmetry_Int_Tables_number 1
loop_
_symmetry_equiv_pos_as_xyz
'x,y,z'
loop_
_atom_site_label
_atom_site_fract_x
_atom_site_fract_y
_atom_site_fract_z
Cl1 0.000 0.000 0.987
Cl2 0.500 0.500 0.376
Li1 0.000 0.000 0.357
Ca1 0.500 0.500 0.781
```

Computed properties:
space group = P4mm (99)
spin magnetization = 0.96 Bohr magnetons per cell
formation energy from raw total energies = -1.579 eV/atom
density = 2.24 g cm⁻³